Run w
An optimized crystal structure of PuSiSb, computed with PBE.

Summary:
The crystal system is cubic. The value obtained for the calculated density is 8.68 Mg/m³. The calculation puts the total magnetic moment at 22.8 Bohr magnetons per cell.

Lattice parameters (Å, degrees): 6.7052 6.7052 6.7052 90.00 90.00 90.00
Closest atoms and distances in Å follow each position.
Space group F-43m (No. 216)
Unique sites:
Pu (0.0000, 0.0000, 0.0000) x4  4 Si 2.90
Si (0.2500, 0.2500, 0.2500) x4  4 Sb 2.90, 4 Pu 2.90
Sb (0.0000, 0.0000, 0.5000) x4  4 Si 2.90

***

Run x
An optimized crystal structure of PuSiSb, computed with PBE.

Summary:
The crystal system is cubic. The value obtained for the calculated density is 7.93 Mg/m³. The calculation puts the total magnetic moment at 20.9 Bohr magnetons per cell.

Lattice parameters (Å, degrees): 6.9084 6.9084 6.9084 90.00 90.00 90.00
Closest atoms and distances in Å follow each position.
Space group F-43m (No. 216)
Unique sites:
Pu (0.0000, 0.0000, 0.0000) x4  4 Sb 2.99, 4 Si 2.99
Si (0.2500, 0.2500, 0.2500) x4  4 Pu 2.99
Sb (0.2500, 0.2500, 0.7500) x4  4 Pu 2.99

***

Stability, descending: run w, run x

***

Run w
An optimized crystal structure of PuSiTc, computed with PBE.

Summary:
The crystal system is cubic. The value obtained for the calculated density is 9.93 Mg/m³. The calculation puts the total magnetic moment at 15.4 Bohr magnetons per cell.

Lattice parameters (Å, degrees): 6.2780 6.2780 6.2780 90.00 90.00 90.00
Closest atoms and distances in Å follow each position.
Space group F-43m (No. 216)
Unique sites:
Pu (0.0000, 0.0000, 0.0000) x4  4 Si 2.72, 4 Tc 2.72
Si (0.2500, 0.2500, 0.2500) x4  4 Pu 2.72
Tc (0.2500, 0.2500, 0.7500) x4  4 Pu 2.72

***

Run x
An optimized crystal structure of PuSiTc, computed with PBE.

Summary:
The crystal system is cubic. The value obtained for the calculated density is 10.96 Mg/m³. The calculation puts the total magnetic moment at 20.4 Bohr magnetons per cell.

Lattice parameters (Å, degrees): 6.0766 6.0766 6.0766 90.00 90.00 90.00
Closest atoms and distances in Å follow each position.
Space group F-43m (No. 216)
Unique sites:
Pu (0.0000, 0.0000, 0.0000) x4  4 Si 2.63
Si (0.2500, 0.2500, 0.2500) x4  4 Pu 2.63, 4 Tc 2.63
Tc (0.0000, 0.0000, 0.5000) x4  4 Si 2.63

***

Stability, descending: run x, run w

***

Run w
An optimized crystal structure of SmPu, computed with PBE.

Summary:
The crystal system is cubic. The value obtained for the calculated density is 9.15 Mg/m³. The calculation puts the total magnetic moment at 27.4 Bohr magnetons per cell.

Lattice parameters (Å, degrees): 6.5915 6.5915 6.5915 90.00 90.00 90.00
Closest atoms and distances in Å follow each position.
Space group F-43m (No. 216)
Unique sites:
Sm (0.0000, 0.0000, 0.0000) x4  4 Pu 2.85
Pu (0.2500, 0.2500, 0.2500) x4  4 Sm 2.85

***

Run x
An optimized crystal structure of SmPu, computed with PBE.

Summary:
The crystal system is hexagonal. The value obtained for the calculated density is 10.68 Mg/m³. The calculation puts the total magnetic moment at 6.2 Bohr magnetons per cell.

Lattice parameters (Å, degrees): 3.5086 3.5086 5.7515 90.00 90.00 120.00
Closest atoms and distances in Å follow each position.
Space group P-6m2 (No. 187)
Unique sites:
Sm (0.0000, 0.0000, 0.0000) x1  6 Sm 3.51, 6 Pu 3.52
Pu (0.3333, 0.6667, 0.5000) x1  6 Pu 3.51, 6 Sm 3.52

***

Stability, descending: run x, run w